No. 1
Below is crystalline HgPRhS2 at its relaxed geometry, with properties calculated at the PBE level.

Unit cell a=4.893 b=4.893 c=4.369 alpha=90.00 beta=90.00 gamma=90.00
Sites, in units of the cell vectors:
Hg  0.000  0.000  0.000
P  0.500  0.500  0.000
Rh  0.500  0.500  0.500
S  0.000  0.500  0.500
S  0.500  0.000  0.500

uncorrected formation energy	453.4	meV per atom

=====

No. 2
Below is crystalline MgPt2Rh at its relaxed geometry, with properties calculated at the PBE level.

Unit cell a=4.765 b=4.765 c=2.818 alpha=90.00 beta=90.00 gamma=108.07
Sites, in units of the cell vectors:
Mg  0.000  0.000  0.000
Pt  0.000  0.500  0.500
Pt  0.500  0.000  0.500
Rh  0.500  0.500  0.000

E_form	-11.65	kcal/mol of atoms

=====

No. 3
Below is crystalline Co2MoOs at its relaxed geometry, with properties calculated at the PBE level.

Unit cell a=3.695 b=3.695 c=3.723 alpha=90.00 beta=90.00 gamma=90.00
Sites, in units of the cell vectors:
Co  0.000  0.500  0.000
Co  0.500  0.000  0.000
Mo  0.000  0.000  0.500
Os  0.500  0.500  0.500

E_form	0.68	kcal/mol of atoms

=====

No. 4
Below is crystalline K2VSnBr6 at its relaxed geometry, with properties calculated at the PBE level.

Unit cell a=7.543 b=7.870 c=13.187 alpha=90.00 beta=124.44 gamma=90.00
Sites, in units of the cell vectors:
K  0.221  0.077  0.247
K  0.221  0.423  0.747
K  0.779  0.577  0.253
K  0.779  0.923  0.753
V  0.000  0.000  0.500
V  0.000  0.500  0.000
Sn  0.500  0.000  0.000
Sn  0.500  0.500  0.500
Br  0.129  0.214  0.951
Br  0.129  0.286  0.451
Br  0.240  0.683  0.951
Br  0.240  0.817  0.451
Br  0.332  0.018  0.734
Br  0.332  0.482  0.234
Br  0.668  0.518  0.766
Br  0.668  0.982  0.266
Br  0.760  0.183  0.549
Br  0.760  0.317  0.049
Br  0.871  0.714  0.549
Br  0.871  0.786  0.049

uncorrected formation energy	-1153.8	meV per atom

=====

No. 5
Below is crystalline Sr8CuRh2 at its relaxed geometry, with properties calculated at the PBE level.

Unit cell a=9.355 b=9.355 c=6.411 alpha=90.00 beta=90.00 gamma=120.00
Sites, in units of the cell vectors:
Sr  0.161  0.325  0.251
Sr  0.163  0.839  0.251
Sr  0.325  0.163  0.749
Sr  0.333  0.667  0.749
Sr  0.667  0.333  0.251
Sr  0.675  0.837  0.251
Sr  0.837  0.161  0.749
Sr  0.839  0.675  0.749
Cu  0.000  0.000  0.500
Rh  0.333  0.667  0.250
Rh  0.667  0.333  0.750

E_form	1.15	kcal/mol of atoms

=====

No. 6
Below is crystalline Pm2Pr3Cd6 at its relaxed geometry, with properties calculated at the PBE level.

Unit cell a=19.938 b=19.938 c=19.938 alpha=168.05 beta=168.05 gamma=16.94
Sites, in units of the cell vectors:
Pm  0.132  0.132  0.000
Pm  0.868  0.868  0.000
Pr  0.312  0.312  0.000
Pr  0.500  0.500  0.000
Pr  0.688  0.688  0.000
Cd  0.066  0.566  0.500
Cd  0.228  0.228  0.000
Cd  0.434  0.934  0.500
Cd  0.566  0.066  0.500
Cd  0.772  0.772  0.000
Cd  0.934  0.434  0.500

E_form	-0.49	kcal/mol of atoms

=====

No. 7
Below is crystalline CsNiAs at its relaxed geometry, with properties calculated at the PBE level.

Unit cell a=4.235 b=4.236 c=11.533 alpha=86.86 beta=87.90 gamma=82.16
Sites, in units of the cell vectors:
Cs  0.193  0.246  0.275
Cs  0.807  0.754  0.725
Ni  0.206  0.708  0.000
Ni  0.794  0.292  0.000
As  0.304  0.214  0.915
As  0.696  0.786  0.085

E_form	-8.34	kcal/mol of atoms

=====

No. 8
Below is crystalline Pm5In2Sb at its relaxed geometry, with properties calculated at the PBE level.

Unit cell a=8.950 b=8.950 c=8.950 alpha=122.44 beta=122.44 gamma=85.82
Sites, in units of the cell vectors:
Pm  0.000  0.000  0.000
Pm  0.009  0.509  0.821
Pm  0.188  0.009  0.500
Pm  0.312  0.812  0.821
Pm  0.491  0.312  0.500
Pm  0.500  0.500  0.000
Pm  0.509  0.688  0.500
Pm  0.688  0.188  0.179
Pm  0.812  0.991  0.500
Pm  0.991  0.491  0.179
In  0.137  0.363  0.500
In  0.363  0.863  0.226
In  0.637  0.137  0.774
In  0.863  0.637  0.500
Sb  0.250  0.250  0.000
Sb  0.750  0.750  0.000

uncorrected formation energy	-542.6	meV per atom

=====

These records have ρ values of 6.33; 14.12; 13.20; 3.74; 3.32; 6.78; 4.33; 7.34 Mg/m³, in the order they appear.